{
  "formula": "LiAc2ScHg6",
  "functional": "PBE",
  "state": "optimized geometry",
  "cell": [[7.295, -0.010, 0.100], [-0.022, 7.358, -0.063], [3.661, 3.633, 5.147]],
  "species": ["Ac", "Hg", "Hg", "Ac", "Sc", "Hg", "Hg", "Hg", "Li", "Hg"],
  "fractional_positions": [[0.604, 0.203, 0.596], [0.158, 0.332, 0.991], [0.156, 0.676, 0.173], [0.396, 0.797, 0.404], [0.500, 0.500, 0.000], [0.842, 0.668, 0.009], [0.845, 0.852, 0.481], [0.844, 0.324, 0.827], [0.000, 0.000, 0.000], [0.155, 0.148, 0.519]],
  "final_energy_ev_per_cell": -21.43,
  "spacegroup": "P-1",
  "total_magnetization_mub_per_fu": 0.00
}